Run P
{"formula": "VOsOF2", "functional": "GGA+U", "state": "optimized geometry", "cell": [[-3.8648, -0.2033, -2.2377], [2.0168, -2.2764, -3.2765], [-0.8234, -3.1942, 1.7124]], "species": ["O", "F", "Os", "F", "V"], "fractional_positions": [[0.0000, 0.0000, 0.5000], [0.5000, 0.0000, 0.0000], [0.0000, 0.0000, 0.0000], [0.0000, 0.5000, 0.0000], [0.5000, 0.5000, 0.5000]]}

***

Run Q
{"formula": "VOsOF2", "functional": "GGA+U", "state": "optimized geometry", "cell": [[4.1555, 0.0000, 0.0000], [0.0000, 4.1555, 0.0000], [0.0000, 0.0000, 3.8181]], "species": ["F", "O", "Os", "V", "F"], "fractional_positions": [[0.0000, 0.5000, 0.0000], [0.0000, 0.0000, 0.5000], [0.5000, 0.5000, 0.5000], [0.0000, 0.0000, 0.0000], [0.5000, 0.0000, 0.0000]]}

***

The energy of each structure relative to the most stable one, in kJ/mol of atoms, is as follows: run P 13.1; run Q 0.0.